No. 1
{"formula": "La5PrSb6", "functional": "PBE-GGA", "state": "relaxed", "sg": "C2/m, No. 12", "e_form_raw_mev_per_atom": -1264, "lattice_angstrom": [[3.998, -6.924, 0.000], [3.998, 6.924, 0.000], [-2.665, 0.000, 7.537]], "species": ["La", "La", "La", "La", "La", "Pr", "Sb", "Sb", "Sb", "Sb", "Sb", "Sb"], "frac_coords": [[0.000, 0.000, 0.000], [0.167, 0.833, 0.500], [0.333, 0.667, 0.000], [0.667, 0.333, 0.000], [0.833, 0.167, 0.500], [0.500, 0.500, 0.500], [0.085, 0.417, 0.251], [0.251, 0.251, 0.749], [0.417, 0.085, 0.251], [0.583, 0.915, 0.749], [0.749, 0.749, 0.251], [0.915, 0.583, 0.749]]}

---

No. 2
{"formula": "Gd2DyRh", "functional": "PBE-GGA", "state": "relaxed", "sg": "P4/mmm, No. 123", "relative_energy_mev_per_atom": 0, "lattice_angstrom": [[3.539, 0.000, 0.000], [0.000, 3.539, 0.000], [0.000, 0.000, 8.582]], "species": ["Gd", "Gd", "Dy", "Rh"], "frac_coords": [[0.000, 0.000, 0.190], [0.000, 0.000, 0.810], [0.500, 0.500, 0.500], [0.500, 0.500, 0.000]]}

---

No. 3
{"formula": "Li5MgIn2", "functional": "PBE-GGA", "state": "relaxed", "sg": "I4/mmm, No. 139", "relative_energy_mev_per_atom": 0, "lattice_angstrom": [[-3.226, 3.226, 3.668], [3.226, -3.226, 3.668], [3.226, 3.226, -3.668]], "species": ["Li", "Li", "Li", "Li", "Li", "Mg", "In", "In"], "frac_coords": [[0.000, 0.000, 0.000], [0.000, 0.000, 0.500], [0.000, 0.500, 0.000], [0.500, 0.000, 0.000], [0.500, 0.500, 0.500], [0.500, 0.500, 0.000], [0.000, 0.500, 0.500], [0.500, 0.000, 0.500]]}

---

No. 4
{"formula": "ZrHSeI", "functional": "PBE-GGA", "state": "relaxed", "e_tot_ev_per_atom": -5.20, "sg": "Cm, No. 8", "lattice_angstrom": [[3.209, -1.853, 0.000], [3.209, 1.853, 0.000], [-2.149, 0.000, 7.364]], "species": ["Zr", "H", "Se", "I"], "frac_coords": [[0.000, 0.000, 0.000], [0.661, 0.661, 0.983], [0.411, 0.411, 0.231], [0.236, 0.236, 0.711]]}